[1]
Computed, not measured: an optimized crystal structure of TbPr2Nd9 at the GGA-PBE level of DFT. Values from VASP.

calculated density: 6.86 g/cm³
calculated total energy: -56.9 eV per cell
calculated formation energy: 0.2 eV/f.u.

```
&SYSTEM
  ibrav = 0, nat = 12, ntyp = 3
/
ATOMIC_SPECIES
Nd 144.24 Nd.upf
Pr 140.91 Pr.upf
Tb 158.93 Tb.upf
CELL_PARAMETERS angstrom
-2.705 3.896 2.121
1.541 -1.504 4.729
12.486 9.277 -1.117
ATOMIC_POSITIONS crystal
Nd 0.500 0.000 0.165
Nd 0.500 0.500 0.668
Nd 0.000 0.500 0.500
Pr 0.000 0.000 0.668
Nd 0.000 0.500 0.165
Nd 0.500 0.000 0.500
Nd 0.500 0.000 0.835
Tb 0.000 0.000 0.000
Nd 0.000 0.500 0.835
Nd 0.500 0.500 0.332
Nd 0.500 0.500 0.000
Pr 0.000 0.000 0.332
```

***

[2]
Computed, not measured: an optimized crystal structure of Re2NiPt at the GGA-PBE level of DFT. Values from VASP.

calculated density: 18.35 g/cm³
distance to the lowest polymorph of the same formula: 22 meV per atom
calculated total energy: -36.8 eV per cell
calculated formation energy: -0.1 eV/f.u.

```
&SYSTEM
  ibrav = 0, nat = 4, ntyp = 3
/
ATOMIC_SPECIES
Pt 195.08 Pt.upf
Re 186.21 Re.upf
Ni 58.69 Ni.upf
CELL_PARAMETERS angstrom
4.653 0.004 -0.008
1.403 4.436 0.008
-3.023 -2.226 2.746
ATOMIC_POSITIONS crystal
Pt 0.750 0.250 0.500
Re 0.250 0.750 0.500
Re 0.000 0.000 0.000
Ni 0.500 0.500 0.000
```

***

[3]
Computed, not measured: an optimized crystal structure of AgH5S2O9 at the GGA-PBE level of DFT. Values from VASP.

calculated density: 2.71 g/cm³
calculated total energy: -364.1 eV per cell

```
&SYSTEM
  ibrav = 0, nat = 68, ntyp = 4
/
ATOMIC_SPECIES
O 16.00 O.upf
H 1.01 H.upf
S 32.06 S.upf
Ag 107.87 Ag.upf
CELL_PARAMETERS angstrom
-5.430 3.420 3.886
0.719 -7.765 2.872
8.942 4.110 8.875
ATOMIC_POSITIONS crystal
O 0.867 0.598 0.223
O 0.475 0.787 0.592
H 0.865 0.055 0.719
S 0.996 0.898 0.805
H 0.366 0.478 0.431
S 0.004 0.102 0.195
O 0.921 0.480 0.384
H 0.535 0.781 0.326
Ag 0.893 0.216 0.463
O 0.825 0.441 0.744
O 0.758 0.415 0.010
O 0.175 0.059 0.244
O 0.556 0.860 0.265
O 0.507 0.671 0.427
H 0.135 0.945 0.281
H 0.535 0.281 0.174
H 0.457 0.705 0.698
H 0.543 0.795 0.198
O 0.242 0.585 0.990
O 0.284 0.355 0.434
S 0.390 0.737 0.017
Ag 0.107 0.784 0.537
O 0.911 0.726 0.845
H 0.315 0.547 0.770
O 0.089 0.774 0.345
O 0.921 0.980 0.116
H 0.543 0.295 0.302
O 0.716 0.145 0.934
O 0.867 0.098 0.277
O 0.242 0.085 0.510
O 0.525 0.713 0.092
H 0.366 0.978 0.069
O 0.525 0.213 0.408
O 0.079 0.520 0.616
S 0.610 0.763 0.517
O 0.133 0.402 0.777
H 0.465 0.219 0.674
O 0.825 0.941 0.756
O 0.758 0.915 0.490
S 0.996 0.398 0.695
Ag 0.107 0.284 0.963
O 0.079 0.020 0.884
S 0.610 0.263 0.983
S 0.004 0.602 0.305
H 0.634 0.022 0.931
H 0.685 0.453 0.230
O 0.089 0.274 0.155
O 0.444 0.140 0.735
O 0.911 0.226 0.655
H 0.634 0.522 0.569
Ag 0.893 0.716 0.037
H 0.685 0.953 0.270
H 0.135 0.445 0.219
O 0.493 0.829 0.927
H 0.865 0.555 0.781
O 0.475 0.287 0.908
O 0.284 0.855 0.066
O 0.556 0.360 0.235
H 0.457 0.205 0.802
O 0.716 0.645 0.566
S 0.390 0.237 0.483
H 0.465 0.719 0.826
O 0.133 0.902 0.723
O 0.493 0.329 0.573
O 0.175 0.559 0.256
O 0.444 0.640 0.765
O 0.507 0.171 0.073
H 0.315 0.047 0.730
```

***

[4]
Computed, not measured: an optimized crystal structure of Gd2MgHg at the GGA-PBE level of DFT. Values from VASP.

calculated density: 8.37 g/cm³
distance to the lowest polymorph of the same formula: 0 meV per atom
calculated total energy: -31.3 eV per cell
calculated formation energy: -1.2 eV/f.u.

```
&SYSTEM
  ibrav = 0, nat = 4, ntyp = 3
/
ATOMIC_SPECIES
Hg 200.59 Hg.upf
Gd 157.25 Gd.upf
Mg 24.30 Mg.upf
CELL_PARAMETERS angstrom
-0.055 -3.825 -0.556
2.306 0.649 -4.686
4.730 -0.398 2.272
ATOMIC_POSITIONS crystal
Hg 0.500 0.500 0.500
Gd 0.000 0.500 0.000
Gd 0.000 0.000 0.500
Mg 0.500 0.000 0.000
```

***

[5]
Computed, not measured: an optimized crystal structure of CoAuCl at the GGA-PBE level of DFT. Values from VASP.

calculated density: 8.70 g/cm³
distance to the lowest polymorph of the same formula: 16 meV per atom
calculated total energy: -49.6 eV per cell
formation energy from raw total energies: -15 kJ/mol of formula units

```
&SYSTEM
  ibrav = 0, nat = 12, ntyp = 3
/
ATOMIC_SPECIES
Cl 35.45 Cl.upf
Co 58.93 Co.upf
Au 196.97 Au.upf
CELL_PARAMETERS angstrom
-3.931 -4.507 -11.223
-2.312 -1.686 1.487
-3.145 4.489 0.201
ATOMIC_POSITIONS crystal
Cl 0.146 0.000 0.386
Cl 0.854 0.500 0.114
Cl 0.854 0.000 0.614
Cl 0.146 0.500 0.886
Co 0.256 0.000 0.087
Co 0.744 0.000 0.913
Co 0.256 0.500 0.587
Au 0.410 0.000 0.801
Au 0.590 0.500 0.699
Au 0.590 0.000 0.199
Au 0.410 0.500 0.301
Co 0.744 0.500 0.413
```

***

[6]
Computed, not measured: an optimized crystal structure of Sm12Y3Pu at the GGA-PBE level of DFT. Values from VASP.

calculated density: 7.26 g/cm³
calculated total energy: -89.7 eV per cell
calculated formation energy: 0.7 eV/f.u.

```
&SYSTEM
  ibrav = 0, nat = 16, ntyp = 3
/
ATOMIC_SPECIES
Sm 150.36 Sm.upf
Pu 244.00 Pu.upf
Y 88.91 Y.upf
CELL_PARAMETERS angstrom
-4.294 -2.716 0.444
2.751 -4.261 0.534
0.346 2.750 20.180
ATOMIC_POSITIONS crystal
Sm 0.500 0.000 0.878
Sm 0.500 0.500 0.500
Sm 0.500 0.000 0.374
Pu 0.000 0.000 0.000
Sm 0.500 0.000 0.122
Sm 0.500 0.000 0.626
Sm 0.500 0.500 0.751
Y 0.000 0.000 0.249
Y 0.000 0.000 0.500
Y 0.000 0.000 0.751
Sm 0.000 0.500 0.374
Sm 0.000 0.500 0.626
Sm 0.500 0.500 0.249
Sm 0.500 0.500 0.000
Sm 0.000 0.500 0.122
Sm 0.000 0.500 0.878
```

***

[7]
Computed, not measured: an optimized crystal structure of K4FeHg at the GGA-PBE level of DFT. Values from VASP.

calculated density: 2.18 g/cm³
calculated total energy: -8.9 eV per cell
calculated formation energy: 4.2 eV/f.u.

```
&SYSTEM
  ibrav = 0, nat = 6, ntyp = 3
/
ATOMIC_SPECIES
K 39.10 K.upf
Fe 55.84 Fe.upf
Hg 200.59 Hg.upf
CELL_PARAMETERS angstrom
4.547 -5.736 -2.152
4.620 -3.319 5.084
-1.431 -7.104 2.387
ATOMIC_POSITIONS crystal
K 0.375 0.375 0.874
K 0.375 0.375 0.375
Fe 0.750 0.750 0.750
K 0.874 0.375 0.375
K 0.375 0.874 0.375
Hg 0.000 0.000 0.000
```

***

[8]
Computed, not measured: an optimized crystal structure of Tm7TlRh2 at the GGA-PBE level of DFT. Values from VASP.

calculated density: 8.66 g/cm³
calculated total energy: -51.0 eV per cell
calculated formation energy: -2.6 eV/f.u.

```
&SYSTEM
  ibrav = 0, nat = 10, ntyp = 3
/
ATOMIC_SPECIES
Tm 168.93 Tm.upf
Rh 102.91 Rh.upf
Tl 204.38 Tl.upf
CELL_PARAMETERS angstrom
5.137 0.000 0.000
0.000 8.071 0.142
0.000 -3.433 7.306
ATOMIC_POSITIONS crystal
Tm 0.500 0.944 0.684
Tm 0.500 0.316 0.056
Rh 0.500 0.703 0.297
Tm 0.500 0.056 0.316
Tm 0.000 0.710 0.290
Tm 0.000 0.290 0.710
Rh 0.500 0.297 0.703
Tm 0.500 0.684 0.944
Tm 0.500 0.500 0.500
Tl 0.000 0.000 0.000
```

***

[9]
Computed, not measured: an optimized crystal structure of ZrGeH2 at the GGA-PBE level of DFT. Values from VASP.

calculated density: 5.57 g/cm³
distance to the lowest polymorph of the same formula: 0 meV per atom
calculated total energy: -21.1 eV per cell

```
&SYSTEM
  ibrav = 0, nat = 4, ntyp = 3
/
ATOMIC_SPECIES
H 1.01 H.upf
Zr 91.22 Zr.upf
Ge 72.64 Ge.upf
CELL_PARAMETERS angstrom
3.337 0.012 0.012
1.671 2.888 0.012
1.632 0.945 5.146
ATOMIC_POSITIONS crystal
H 0.997 0.997 0.010
Zr 0.691 0.691 0.927
H 0.310 0.310 0.074
Ge 0.502 0.502 0.489
```

***

[10]
Computed, not measured: an optimized crystal structure of SiRu2W at the GGA-PBE level of DFT. Values from VASP.

calculated density: 12.09 g/cm³
calculated total energy: -36.7 eV per cell
formation energy from raw total energies: 19 kJ/mol of formula units

```
&SYSTEM
  ibrav = 0, nat = 4, ntyp = 3
/
ATOMIC_SPECIES
Ru 101.07 Ru.upf
W 183.84 W.upf
Si 28.09 Si.upf
CELL_PARAMETERS angstrom
-1.094 -0.774 2.598
3.982 -1.831 1.131
1.260 3.762 1.651
ATOMIC_POSITIONS crystal
Ru 0.500 0.500 0.000
W 0.000 0.500 0.500
Ru 0.000 0.000 0.000
Si 0.500 0.000 0.500
```

***

[11]
Computed, not measured: an optimized crystal structure of NbNiMo at the GGA-PBE level of DFT. Values from VASP.

calculated density: 9.01 g/cm³
distance to the lowest polymorph of the same formula: 224 meV per atom
calculated total energy: -26.3 eV per cell
calculated formation energy: 0.4 eV/f.u.

```
&SYSTEM
  ibrav = 0, nat = 3, ntyp = 3
/
ATOMIC_SPECIES
Mo 95.94 Mo.upf
Ni 58.69 Ni.upf
Nb 92.91 Nb.upf
CELL_PARAMETERS angstrom
-0.614 1.675 1.894
-0.343 -3.415 2.910
3.947 2.086 -0.566
ATOMIC_POSITIONS crystal
Mo 0.647 0.333 0.667
Ni 0.333 0.667 0.333
Nb 0.020 0.000 0.000
```

***

[12]
Computed, not measured: an optimized crystal structure of UAlAu2 at the GGA-PBE level of DFT. Values from VASP.

calculated density: 14.34 g/cm³
calculated total energy: -22.6 eV per cell
calculated formation energy: -1.0 eV/f.u.

```
&SYSTEM
  ibrav = 0, nat = 4, ntyp = 3
/
ATOMIC_SPECIES
Au 196.97 Au.upf
Al 26.98 Al.upf
U 238.03 U.upf
CELL_PARAMETERS angstrom
3.135 0.000 0.000
0.000 3.135 0.000
0.000 0.000 7.764
ATOMIC_POSITIONS crystal
Au 0.000 0.000 0.205
Al 0.500 0.500 0.000
U 0.500 0.500 0.500
Au 0.000 0.000 0.795
```

***

[13]
Computed, not measured: an optimized crystal structure of CdW2C at the GGA-PBE level of DFT. Values from VASP.

calculated density: 14.13 g/cm³
distance to the lowest polymorph of the same formula: 541 meV per atom
calculated total energy: -28.7 eV per cell
calculated formation energy: 7.4 eV/f.u.

```
&SYSTEM
  ibrav = 0, nat = 4, ntyp = 3
/
ATOMIC_SPECIES
Cd 112.41 Cd.upf
C 12.01 C.upf
W 183.84 W.upf
CELL_PARAMETERS angstrom
0.000 3.069 3.069
3.069 0.000 3.069
3.069 3.069 0.000
ATOMIC_POSITIONS crystal
Cd 0.500 0.500 0.500
C 0.000 0.000 0.000
W 0.250 0.250 0.250
W 0.750 0.750 0.750
```

***

[14]
Computed, not measured: an optimized crystal structure of NdEr2Ir at the GGA-PBE level of DFT. Values from VASP.

calculated density: 10.22 g/cm³
distance to the lowest polymorph of the same formula: 0 meV per atom
calculated total energy: -99.9 eV per cell
calculated formation energy: -2.2 eV/f.u.

```
&SYSTEM
  ibrav = 0, nat = 16, ntyp = 3
/
ATOMIC_SPECIES
Er 167.26 Er.upf
Nd 144.24 Nd.upf
Ir 192.22 Ir.upf
CELL_PARAMETERS angstrom
6.446 0.000 0.000
0.000 7.284 0.000
0.000 0.000 9.291
ATOMIC_POSITIONS crystal
Er 0.668 0.825 0.565
Er 0.168 0.675 0.435
Er 0.668 0.825 0.935
Er 0.332 0.175 0.435
Nd 0.868 0.033 0.250
Ir 0.066 0.382 0.250
Er 0.168 0.675 0.065
Er 0.832 0.325 0.935
Nd 0.368 0.467 0.750
Nd 0.632 0.533 0.250
Ir 0.934 0.618 0.750
Er 0.332 0.175 0.065
Er 0.832 0.325 0.565
Ir 0.566 0.118 0.750
Ir 0.434 0.882 0.250
Nd 0.132 0.967 0.750
```

***

[15]
Computed, not measured: an optimized crystal structure of MnSnMoP at the GGA-PBE level of DFT. Values from VASP.

calculated density: 7.81 g/cm³
distance to the lowest polymorph of the same formula: 181 meV per atom
calculated total energy: -29.5 eV per cell
calculated formation energy: -0.1 eV/f.u.

```
&SYSTEM
  ibrav = 0, nat = 4, ntyp = 4
/
ATOMIC_SPECIES
P 30.97 P.upf
Mo 95.94 Mo.upf
Sn 118.71 Sn.upf
Mn 54.94 Mn.upf
CELL_PARAMETERS angstrom
3.260 -0.251 0.074
-1.296 4.296 -0.564
-0.240 -1.634 4.874
ATOMIC_POSITIONS crystal
P 0.919 0.940 0.859
Mo 0.181 0.464 0.751
Sn 0.377 0.856 0.380
Mn 0.593 0.287 0.142
```

***

[16]
Computed, not measured: an optimized crystal structure of Te2RhSe at the GGA-PBE level of DFT. Values from VASP.

calculated density: 6.71 g/cm³
calculated total energy: -17.6 eV per cell
formation energy from raw total energies: -43 kJ/mol of formula units

```
&SYSTEM
  ibrav = 0, nat = 4, ntyp = 3
/
ATOMIC_SPECIES
Te 127.60 Te.upf
Rh 102.91 Rh.upf
Se 78.96 Se.upf
CELL_PARAMETERS angstrom
-6.280 1.453 0.720
-5.231 -0.261 3.826
-0.783 4.344 2.662
ATOMIC_POSITIONS crystal
Te 0.010 0.010 0.018
Rh 0.499 0.499 0.404
Te 0.845 0.845 0.712
Se 0.145 0.145 0.366
```

***

[17]
Computed, not measured: an optimized crystal structure of Ce2ErSi2Pd2 at the GGA-PBE level of DFT. Values from VASP.

calculated density: 8.42 g/cm³
calculated total energy: -43.2 eV per cell
formation energy from raw total energies: -537 kJ/mol of formula units

```
&SYSTEM
  ibrav = 0, nat = 7, ntyp = 4
/
ATOMIC_SPECIES
Pd 106.42 Pd.upf
Si 28.09 Si.upf
Er 167.26 Er.upf
Ce 140.12 Ce.upf
CELL_PARAMETERS angstrom
-3.776 1.960 0.528
-3.564 -2.321 0.535
-1.177 -0.043 9.141
ATOMIC_POSITIONS crystal
Pd 0.599 0.599 0.203
Si 0.739 0.739 0.784
Er 0.000 0.000 0.000
Ce 0.138 0.138 0.586
Ce 0.862 0.862 0.414
Pd 0.401 0.401 0.797
Si 0.261 0.261 0.216
```

***

[18]
Computed, not measured: an optimized crystal structure of AgAuSe at the GGA-PBE level of DFT. Values from VASP.

calculated density: 9.02 g/cm³
calculated total energy: -39.1 eV per cell
formation energy from raw total energies: -15 kJ/mol of formula units

```
&SYSTEM
  ibrav = 0, nat = 12, ntyp = 3
/
ATOMIC_SPECIES
Ag 107.87 Ag.upf
Se 78.96 Se.upf
Au 196.97 Au.upf
CELL_PARAMETERS angstrom
6.542 0.498 -2.601
-2.221 6.174 -2.601
-0.528 -0.815 7.447
ATOMIC_POSITIONS crystal
Ag 0.461 0.760 0.902
Ag 0.539 0.240 0.098
Ag 0.260 0.961 0.402
Se 0.123 0.916 0.718
Ag 0.740 0.039 0.598
Au 0.000 0.500 0.000
Au 0.000 0.000 0.000
Se 0.877 0.084 0.282
Au 0.500 0.500 0.500
Se 0.584 0.377 0.782
Se 0.416 0.623 0.218
Au 0.000 0.500 0.500
```

***

[19]
Computed, not measured: an optimized crystal structure of CaZrPd2 at the GGA-PBE level of DFT. Values from VASP.

calculated density: 7.19 g/cm³
calculated total energy: -23.3 eV per cell
calculated formation energy: -2.4 eV/f.u.

```
&SYSTEM
  ibrav = 0, nat = 4, ntyp = 3
/
ATOMIC_SPECIES
Pd 106.42 Pd.upf
Ca 40.08 Ca.upf
Zr 91.22 Zr.upf
CELL_PARAMETERS angstrom
3.153 0.000 0.000
0.000 5.021 0.000
0.000 0.000 5.021
ATOMIC_POSITIONS crystal
Pd 0.000 0.500 0.000
Ca 0.500 0.000 0.000
Zr 0.500 0.500 0.500
Pd 0.000 0.000 0.500
```